# 1
A relaxed DyZn2Ag3 crystal, computed with GGA-PBE.

Cell and atoms, written as CIF:
```
data_DyZn2Ag3
_space_group_name_H-M_alt 'P 63/m m c'
_space_group_IT_number 194
_space_group_name_Hall '-P 6c 2c'
_cell_length_a 4.6229
_cell_length_b 4.6229
_cell_length_c 12.3041
_cell_angle_alpha 90.00
_cell_angle_beta 90.00
_cell_angle_gamma 120.00
loop_
_atom_site_label
_atom_site_fract_x
_atom_site_fract_y
_atom_site_fract_z
Dy1 0.0000 0.0000 0.2500
Zn1 0.3333 0.6667 0.1210
Ag1 0.0000 0.0000 0.0000
Ag2 0.3333 0.6667 0.6068
```

Computed properties:
Offset from the most stable computed form ... 0 meV per atom
Crystal system ... hexagonal


# 2
A relaxed LaPmEr2 crystal, computed with GGA-PBE.

Cell and atoms, written as CIF:
```
data_LaPmEr2
_space_group_name_H-M_alt 'P 4/m m m'
_space_group_IT_number 123
_space_group_name_Hall '-P 4 2'
_cell_length_a 5.150
_cell_length_b 5.150
_cell_length_c 4.990
_cell_angle_alpha 90.00
_cell_angle_beta 90.00
_cell_angle_gamma 90.00
loop_
_atom_site_label
_atom_site_fract_x
_atom_site_fract_y
_atom_site_fract_z
La1 0.000 0.000 0.000
Pm1 0.500 0.500 0.000
Er1 0.000 0.500 0.500
```

Computed properties:
Offset from the most stable computed form ... 12 meV per atom
Crystal system ... tetragonal


# 3
A relaxed NbV3Mo3 crystal, computed with GGA-PBE.

Cell and atoms, written as CIF:
```
data_NbV3Mo3
_space_group_name_H-M_alt 'R -3'
_space_group_IT_number 148
_space_group_name_Hall '-R 3'
_cell_length_a 7.2485
_cell_length_b 7.2485
_cell_length_c 14.4077
_cell_angle_alpha 90.00
_cell_angle_beta 90.00
_cell_angle_gamma 120.00
loop_
_atom_site_label
_atom_site_fract_x
_atom_site_fract_y
_atom_site_fract_z
Nb1 0.0000 0.0000 0.2380
V1 0.0495 0.8087 0.9205
Mo1 0.0143 0.7788 0.4156
```

Computed properties:
Crystal system ... trigonal
E_tot ... -9.710 eV per atom


V (Å³/cell)
227.72, 132.35, 655.57
Magnetization (μB/f.u.)
0.00, 0.00, 0.00